Record 1
Crystalline As4P3 at its relaxed geometry, computed with PBE-GGA.

Volume: 293.1 Å³/cell
Electronic total energy: -4.623 eV per atom

a b c (Å): 3.641 3.641 22.110
angles (deg): 90.00 90.00 90.00
Space group I4/mmm (No. 139)
One atom of each set of equivalent atoms:
As1 0.000 0.000 0.054
As2 0.000 0.000 0.312
P1 0.000 0.000 0.205
P2 0.000 0.000 0.500



Record 2
Crystalline AsP at its relaxed geometry, computed with PBE-GGA.

Volume: 91.4 Å³/cell
Energy above the lowest structure with this stoichiometry: 2 meV per atom
Electronic total energy: -4.974 eV per atom

a b c (Å): 4.529 3.522 5.871
angles (deg): 90.00 102.73 90.00
Space group P2/m (No. 10)
One atom of each set of equivalent atoms:
As1 0.031 0.000 0.286
P1 0.391 0.500 0.311



Record 3
Crystalline AsP4 at its relaxed geometry, computed with PBE-GGA.

Volume: 100.7 Å³/cell
Energy above the lowest structure with this stoichiometry: 919 meV per atom
Electronic total energy: -3.904 eV per atom

a b c (Å): 4.652 4.652 4.652
angles (deg): 90.00 90.00 90.00
Space group Pm-3m (No. 221)
One atom of each set of equivalent atoms:
As1 0.000 0.000 0.000
P1 0.000 0.000 0.500
P2 0.500 0.500 0.500



Record 4
Crystalline As5P at its relaxed geometry, computed with PBE-GGA.

Volume: 254.2 Å³/cell
Energy above the lowest structure with this stoichiometry: 296 meV per atom
Electronic total energy: -4.350 eV per atom

a b c (Å): 5.114 10.069 4.937
angles (deg): 90.00 90.00 90.00
Space group Cmmm (No. 65)
One atom of each set of equivalent atoms:
As1 0.000 0.000 0.000
As2 0.000 0.122 0.500
As3 0.000 0.378 0.000
P1 0.000 0.500 0.500



Record 5
Crystalline AsP at its relaxed geometry, computed with PBE-GGA.

Volume: 254.4 Å³/cell
Energy above the lowest structure with this stoichiometry: 237 meV per atom
Electronic total energy: -4.740 eV per atom

a b c (Å): 11.675 3.411 8.140
angles (deg): 90.00 128.31 90.00
Space group Cm (No. 8)
One atom of each set of equivalent atoms:
As1 0.000 0.000 0.000
As2 0.093 0.500 0.563
As3 0.326 0.500 0.157
P1 0.156 0.500 0.253
P2 0.171 0.000 0.911
P3 0.240 0.000 0.580



Record 6
Crystalline AsP at its relaxed geometry, computed with PBE-GGA.

Volume: 219.1 Å³/cell
Energy above the lowest structure with this stoichiometry: 126 meV per atom
Electronic total energy: -4.850 eV per atom

a b c (Å): 11.256 3.644 5.342
angles (deg): 90.00 90.85 90.00
Space group Cm (No. 8)
One atom of each set of equivalent atoms:
As1 0.000 0.000 0.000
As2 0.161 0.500 0.505
As3 0.326 0.000 0.053
P1 0.161 0.500 0.051
P2 0.337 0.000 0.507
P3 0.490 0.500 0.544



Record 7
Crystalline As5P3 at its relaxed geometry, computed with PBE-GGA.

Volume: 429.9 Å³/cell
Energy above the lowest structure with this stoichiometry: 0 meV per atom
Electronic total energy: -4.771 eV per atom

a b c (Å): 5.684 8.263 9.635
angles (deg): 92.63 102.83 101.77
Space group P1 (No. 1)
One atom of each set of equivalent atoms:
As1 0.000 0.000 0.000
As2 0.011 0.672 0.696
As3 0.103 0.170 0.365
As4 0.292 0.616 0.266
As5 0.406 0.841 0.472
As6 0.654 0.555 0.804
As7 0.691 0.148 0.929
As8 0.727 0.225 0.595
As9 0.836 0.554 0.148
As10 0.869 0.836 0.495
P1 0.073 0.106 0.600
P2 0.249 0.453 0.463
P3 0.489 0.096 0.366
P4 0.692 0.759 0.001
P5 0.874 0.471 0.493
P6 0.944 0.419 0.949



Record 8
Crystalline As5P at its relaxed geometry, computed with PBE-GGA.

Volume: 122.3 Å³/cell
Energy above the lowest structure with this stoichiometry: 572 meV per atom
Electronic total energy: -4.074 eV per atom

a b c (Å): 5.2730 5.2730 5.0802
angles (deg): 90.00 90.00 120.00
Space group P6/mmm (No. 191)
One atom of each set of equivalent atoms:
As1 0.0000 0.5000 0.0000
As2 0.3333 0.6667 0.5000
P1 0.0000 0.0000 0.5000



Record 9
Crystalline AsP at its relaxed geometry, computed with PBE-GGA.

Volume: 115.5 Å³/cell
Energy above the lowest structure with this stoichiometry: 16 meV per atom
Electronic total energy: -4.960 eV per atom

a b c (Å): 3.4586 3.4586 11.1515
angles (deg): 90.00 90.00 120.00
Space group P-3m1 (No. 164)
One atom of each set of equivalent atoms:
As1 0.3333 0.6667 0.1953
P1 0.3333 0.6667 0.6863



Record 10
Crystalline AsP3 at its relaxed geometry, computed with PBE-GGA.

Volume: 78.3 Å³/cell
Energy above the lowest structure with this stoichiometry: 57 meV per atom
Electronic total energy: -5.102 eV per atom

a b c (Å): 4.195 3.459 5.608
angles (deg): 90.00 105.66 90.00
Space group Pm (No. 6)
One atom of each set of equivalent atoms:
As1 0.000 0.000 0.000
P1 0.606 0.500 0.838
P2 0.618 0.500 0.437
P3 0.972 0.000 0.426



Record 11
Crystalline AsP at its relaxed geometry, computed with PBE-GGA.

Volume: 181.5 Å³/cell
Energy above the lowest structure with this stoichiometry: 2 meV per atom
Electronic total energy: -4.975 eV per atom

a b c (Å): 11.234 3.526 4.586
angles (deg): 90.00 92.09 90.00
Space group C2/m (No. 12)
One atom of each set of equivalent atoms:
As1 0.107 0.000 0.099
P1 0.096 0.500 0.447



Record 12
Crystalline AsP at its relaxed geometry, computed with PBE-GGA.

Volume: 266.4 Å³/cell
Energy above the lowest structure with this stoichiometry: 590 meV per atom
Electronic total energy: -4.386 eV per atom

a b c (Å): 6.435 6.435 6.435
angles (deg): 90.00 90.00 90.00
Space group Fd-3m (No. 227, origin choice 2)
One atom of each set of equivalent atoms:
As1 0.125 0.125 0.125
P1 0.125 0.125 0.625